Computed, not measured: a geometry-optimized La4SiBr structure at the GGA-PBEsol level of DFT.

a b c (Å): 8.879 8.879 8.879
angles (deg): 90.00 90.00 90.00
Space group F-43m (No. 216)
Inequivalent atoms, fractional coordinates:
La 0.123 0.123 0.377 x16
Si 0.250 0.250 0.750 x4
Br 0.000 0.000 0.000 x4

Calculated values
N(E_F): 1.009 states/eV per atom
Formation energy (no corrections): 74 meV per atom
Magnetic moment: 0.00 μB per formula unit

---

Computed, not measured: a geometry-optimized La2SiBr structure at the GGA-PBEsol level of DFT.

a b c (Å): 4.299 4.299 6.015
angles (deg): 90.00 90.00 90.00
Space group P4/mmm (No. 123)
Inequivalent atoms, fractional coordinates:
La 0.000 0.000 0.000 x1
La 0.500 0.500 0.500 x1
Si 0.000 0.000 0.500 x1
Br 0.500 0.500 0.000 x1

Calculated values
Energy relative to the lowest polymorph listed for this composition: 28 meV per atom
N(E_F): 0.449 states/eV per atom
Formation energy (no corrections): -1123 meV per atom
Magnetic moment: 0.00 μB per formula unit

---

Computed, not measured: a geometry-optimized La2SiBr structure at the GGA-PBEsol level of DFT.

a b c (Å): 4.3478 4.3478 21.2026
angles (deg): 90.00 90.00 120.00
Space group R-3m (No. 166, hexagonal axes)
Inequivalent atoms, fractional coordinates:
La 0.0000 0.0000 0.2417 x6
Si 0.0000 0.0000 0.5000 x3
Br 0.0000 0.0000 0.0000 x3

Calculated values
Energy relative to the lowest polymorph listed for this composition: 0 meV per atom
N(E_F): 0.458 states/eV per atom
Formation energy (no corrections): -1151 meV per atom
Magnetic moment: 0.00 μB per formula unit

---

Computed, not measured: a geometry-optimized LaSiBr2 structure at the GGA-PBEsol level of DFT.

a b c (Å): 3.536 4.176 6.669
angles (deg): 90.00 90.00 90.00
Space group Pmmm (No. 47)
Inequivalent atoms, fractional coordinates:
La 0.000 0.000 0.000 x1
Si 0.000 0.000 0.500 x1
Br 0.500 0.500 0.237 x2

Calculated values
N(E_F): 0.749 states/eV per atom
Formation energy (no corrections): -586 meV per atom
Magnetic moment: 0.01 μB per formula unit

---

Computed, not measured: a geometry-optimized La5Sn3Br structure at the GGA-PBEsol level of DFT.

a b c (Å): 9.5846 9.5846 6.8173
angles (deg): 90.00 90.00 120.00
Space group P6_3/mcm (No. 193)
Inequivalent atoms, fractional coordinates:
La 0.0000 0.2672 0.2500 x6
La 0.3333 0.6667 0.0000 x4
Sn 0.0000 0.3856 0.7500 x6
Br 0.0000 0.0000 0.0000 x2

Calculated values
N(E_F): 1.092 states/eV per atom
Formation energy (no corrections): -998 meV per atom
Magnetic moment: 0.00 μB per formula unit

---

Computed, not measured: a geometry-optimized LaSnBr2 structure at the GGA-PBEsol level of DFT.

a b c (Å): 3.6576 3.6576 30.9739
angles (deg): 90.00 90.00 120.00
Space group R-3m (No. 166, hexagonal axes)
Inequivalent atoms, fractional coordinates:
La 0.0000 0.0000 0.0000 x3
Sn 0.0000 0.0000 0.5000 x3
Br 0.0000 0.0000 0.4029 x6

Calculated values
N(E_F): 0.388 states/eV per atom
Formation energy (no corrections): -1051 meV per atom
Magnetic moment: 0.00 μB per formula unit